No. 1
This record from Alexandria describes an optimized crystal structure of SrMgCd. The functional is PBE.

Properties
Total DFT energy (no corrections), eV/atom: -1.456
D(E_F), states/eV/f.u.: 1.893

Unit cell a=5.2935 b=5.2935 c=5.2935 alpha=60.00 beta=60.00 gamma=60.00
With the nearest neighbours (Å) after each atom.
Positions (direct):
Sr  0.0000  0.0000  0.0000  4 Cd 3.24
Mg  0.5000  0.5000  0.5000  4 Cd 3.24
Cd  0.2500  0.2500  0.2500  4 Mg 3.24, 4 Sr 3.24

No. 2
This record from Alexandria describes an optimized crystal structure of SrMg9Cd2. The functional is PBE.

Properties
Total DFT energy (no corrections), eV/atom: -1.596
D(E_F), states/eV/f.u.: 4.176

Unit cell a=9.5280 b=9.5280 c=9.5280 alpha=99.83 beta=99.83 gamma=131.18
With the nearest neighbours (Å) after each atom.
Positions (direct):
Sr  0.3750  0.6250  0.7500  18 Mg 3.80-3.96, 4 Cd 4.26
Sr  0.6250  0.3750  0.2500  18 Mg 3.80-3.96, 4 Cd 4.26
Mg  0.1250  0.8750  0.2500  4 Cd 3.22, 8 Mg 3.29
Mg  0.1376  0.5602  0.3305  2 Cd 2.97-2.99, 8 Mg 3.03-3.32
Mg  0.1376  0.8071  0.5774  2 Cd 2.97-2.99, 8 Mg 3.03-3.32
Mg  0.1929  0.2703  0.3305  2 Cd 2.97-2.99, 8 Mg 3.03-3.32
Mg  0.1929  0.8624  0.9226  2 Cd 2.97-2.99, 8 Mg 3.03-3.32
Mg  0.2703  0.1929  0.8305  2 Cd 2.97-2.99, 8 Mg 3.03-3.32
Mg  0.2703  0.4398  0.0774  2 Cd 2.97-2.99, 8 Mg 3.03-3.32
Mg  0.4398  0.2703  0.5774  2 Cd 2.97-2.99, 8 Mg 3.03-3.32
Mg  0.4398  0.8624  0.1695  2 Cd 2.97-2.99, 8 Mg 3.03-3.32
Mg  0.5602  0.1376  0.8305  2 Cd 2.97-2.99, 8 Mg 3.03-3.32
Mg  0.5602  0.7297  0.4226  2 Cd 2.97-2.99, 8 Mg 3.03-3.32
Mg  0.7297  0.5602  0.9226  2 Cd 2.97-2.99, 8 Mg 3.03-3.32
Mg  0.7297  0.8071  0.1695  2 Cd 2.97-2.99, 8 Mg 3.03-3.32
Mg  0.8071  0.1376  0.0774  2 Cd 2.97-2.99, 8 Mg 3.03-3.32
Mg  0.8071  0.7297  0.6695  2 Cd 2.97-2.99, 8 Mg 3.03-3.32
Mg  0.8624  0.1929  0.4226  2 Cd 2.97-2.99, 8 Mg 3.03-3.32
Mg  0.8624  0.4398  0.6695  2 Cd 2.97-2.99, 8 Mg 3.03-3.32
Mg  0.8750  0.1250  0.7500  4 Cd 3.22, 8 Mg 3.29
Cd  0.0000  0.0000  0.0000  10 Mg 2.97-3.22
Cd  0.0000  0.0000  0.5000  10 Mg 2.97-3.22
Cd  0.0000  0.5000  0.0000  10 Mg 2.97-3.22
Cd  0.5000  0.0000  0.5000  10 Mg 2.97-3.22

No. 3
This record from Alexandria describes an optimized crystal structure of SrMg3Cd. The functional is PBE.

Properties
Total DFT energy (no corrections), eV/atom: -1.515
D(E_F), states/eV/f.u.: 2.377

Unit cell a=7.2415 b=7.2415 c=6.2691 alpha=90.00 beta=90.00 gamma=120.00
With the nearest neighbours (Å) after each atom.
Positions (direct):
Sr  0.3333  0.6667  0.2500  12 Mg 3.60-3.63
Sr  0.6667  0.3333  0.7500  12 Mg 3.60-3.63
Mg  0.1919  0.3838  0.7500  2 Cd 2.87, 2 Mg 3.07
Mg  0.1919  0.8081  0.7500  2 Cd 2.87, 2 Mg 3.07
Mg  0.3838  0.1919  0.2500  2 Cd 2.87, 2 Mg 3.07
Mg  0.6162  0.8081  0.7500  2 Cd 2.87, 2 Mg 3.07
Mg  0.8081  0.1919  0.2500  2 Cd 2.87, 2 Mg 3.07
Mg  0.8081  0.6162  0.2500  2 Cd 2.87, 2 Mg 3.07
Cd  0.0000  0.0000  0.0000  6 Mg 2.87, 2 Cd 3.13
Cd  0.0000  0.0000  0.5000  6 Mg 2.87, 2 Cd 3.13